A plane-wave DFT calculation with PBE was carried out for a relaxed structure of CuRh2.

Its volume is 13.6 A^3/atom. Its formation energy from the elements is 0.07 eV per atom.

Cell lengths 2.7144, 2.7144, 11.1152 Å; angles 90.00, 90.00, 90.00 degrees
Space group I4/mmm (No. 139)
Asymmetric unit:
1 Cu 0.0000 0.0000 0.0000 (multiplicity 2)
2 Rh 0.0000 0.0000 0.3334 (multiplicity 4)

A plane-wave DFT calculation with PBE was carried out for a relaxed structure of CaPaTcN3.

Its volume is 15.8 A^3/atom. The calculation puts the energy relative to the elements, uncorrected at -858.2 meV per atom.

Cell lengths 7.5077, 3.3686, 7.5540 Å; angles 90.00, 97.76, 90.00 degrees
Space group P2_1/m (No. 11)
Asymmetric unit:
1 Ca 0.1903 0.2500 0.1705 (multiplicity 2)
2 Pa 0.1736 0.2500 0.6411 (multiplicity 2)
3 Tc 0.4144 0.7500 0.9024 (multiplicity 2)
4 N 0.1251 0.7500 0.4312 (multiplicity 2)
5 N 0.1417 0.7500 0.8497 (multiplicity 2)
6 N 0.4433 0.7500 0.1831 (multiplicity 2)

A plane-wave DFT calculation with PBE was carried out for a relaxed structure of K2CaBiF.

Its volume is 28.7 A^3/atom. The calculation puts the energy relative to the elements, uncorrected at -1401.1 meV per atom.

Cell lengths 5.1012, 5.1012, 5.5119 Å; angles 90.00, 90.00, 90.00 degrees
Space group P4/mmm (No. 123)
Asymmetric unit:
1 K 0.0000 0.5000 0.0000 (multiplicity 2)
2 Ca 0.0000 0.0000 0.5000 (multiplicity 1)
3 Bi 0.5000 0.5000 0.5000 (multiplicity 1)
4 F 0.0000 0.0000 0.0000 (multiplicity 1)

A plane-wave DFT calculation with PBE was carried out for a relaxed structure of Ca2Ga3SiPd4.

Its volume is 19.0 A^3/atom. The calculation puts the energy relative to the elements, uncorrected at -719.1 meV per atom.

Cell lengths 4.3448, 4.3448, 10.0746 Å; angles 90.00, 90.00, 90.00 degrees
Space group P-4m2 (No. 115)
Asymmetric unit:
1 Ca 0.0000 0.5000 0.2475 (multiplicity 2)
2 Ga 0.0000 0.0000 0.0000 (multiplicity 1)
3 Ga 0.0000 0.5000 0.6283 (multiplicity 2)
4 Si 0.5000 0.5000 0.0000 (multiplicity 1)
5 Pd 0.0000 0.0000 0.5000 (multiplicity 1)
6 Pd 0.0000 0.5000 0.8769 (multiplicity 2)
7 Pd 0.5000 0.5000 0.5000 (multiplicity 1)

A plane-wave DFT calculation with PBE was carried out for a relaxed structure of Hf2AlCd2.

Its volume is 21.1 A^3/atom. Its formation energy from the elements is 0.21 eV per atom.

Cell lengths 7.7060, 7.7060, 3.5561 Å; angles 90.00, 90.00, 90.00 degrees
Space group P4/mbm (No. 127)
Asymmetric unit:
1 Hf 0.1739 0.3261 0.0000 (multiplicity 4)
2 Al 0.0000 0.0000 0.5000 (multiplicity 2)
3 Cd 0.1274 0.6274 0.5000 (multiplicity 4)

A plane-wave DFT calculation with PBE was carried out for a relaxed structure of Tc2OsPb.

Its volume is 16.9 A^3/atom. Its formation energy from the elements is 0.58 eV per atom.

Cell lengths 2.9160, 2.9160, 27.5920 Å; angles 90.00, 90.00, 120.00 degrees
Space group R-3m (No. 166, hexagonal axes)
Asymmetric unit:
1 Tc 0.0000 0.0000 0.2420 (multiplicity 6)
2 Os 0.0000 0.0000 0.5000 (multiplicity 3)
3 Pb 0.0000 0.0000 0.0000 (multiplicity 3)

no.,energy (eV/atom)
1,-6.1956
2,-8.6648
3,-3.3909
4,-4.6469
5,-4.8908
6,-8.3357